# RbSnPbAu3

A relaxed structure of RbSnPbAu3 (PBE, Alexandria).

a = 7.598 Å, b = 7.645 Å, c = 7.750 Å
α = 60.44°, β = 87.02°, γ = 83.96°
Fractional coordinates of all 12 atoms:
Rb 0.250 0.252 0.496
Rb 0.750 0.748 0.504
Au 0.750 0.243 0.514
Au 0.000 0.285 0.909
Au 0.500 0.194 0.091
Au 0.250 0.757 0.486
Au 0.500 0.806 0.909
Au 0.000 0.715 0.091
Sn 0.250 0.957 0.086
Sn 0.750 0.043 0.914
Pb 0.750 0.452 0.096
Pb 0.250 0.548 0.904

total moment: 0.00 μB per formula unit
SG: C2/c, No. 15
E_tot: -38.94 eV per cell